Record 1
## BaIr2Os (PBE)

Data for BaIr2Os after structural relaxation.

It has space group R-3m (No. 166, hexagonal axes), with a = 2.9260 Å, b = 2.9260 Å, c = 30.1438 Å, α = 90.00°, β = 90.00° and γ = 120.00°. The inequivalent atoms are Ba at (0.0000, 0.0000, 0.0000), Ir at (0.0000, 0.0000, 0.2355) and Os at (0.0000, 0.0000, 0.5000).

For the excess energy over the best structure of this formula in the dataset, the calculation gives 715 meV per atom. As for the total energy: -6.88 eV per atom. For the total magnetization, the calculation gives 0.00 μB per formula unit. As for the formation energy: 834 meV per atom.

***

Record 2
## InGaTcGe2 (PBE)

Data for InGaTcGe2 after structural relaxation.

It has space group P4/mmm (No. 123), with a = 4.844 Å, b = 4.844 Å, c = 4.953 Å, α = 90.00°, β = 90.00° and γ = 90.00°. The inequivalent atoms are In at (0.000, 0.000, 0.000), Ga at (0.500, 0.500, 0.000), Tc at (0.500, 0.500, 0.500) and Ge at (0.000, 0.500, 0.500).

As for the total energy: -4.92 eV per atom. For the total magnetization, the calculation gives 0.00 μB per formula unit. As for the formation energy: 157 meV per atom.

***

Record 3
## Dy4Ag3 (PBE)

Data for Dy4Ag3 after structural relaxation.

It has space group R-3m (No. 166, hexagonal axes), with a = 5.0934 Å, b = 5.0934 Å, c = 24.8152 Å, α = 90.00°, β = 90.00° and γ = 120.00°. The inequivalent atoms are Dy at (0.0000, 0.0000, 0.1226), Dy at (0.0000, 0.0000, 0.3732), Ag at (0.0000, 0.0000, 0.2500) and Ag at (0.0000, 0.0000, 0.5000).

For the excess energy over the best structure of this formula in the dataset, the calculation gives 47 meV per atom. As for the total energy: -4.01 eV per atom. For the total magnetization, the calculation gives 0.00 μB per formula unit. As for the formation energy: -162 meV per atom.

***

Record 4
## Tb8Pr4Tm (PBE)

Data for Tb8Pr4Tm after structural relaxation.

It has space group R-3m (No. 166, hexagonal axes), with a = 11.1005 Å, b = 11.1005 Å, c = 13.5473 Å, α = 90.00°, β = 90.00° and γ = 120.00°. The inequivalent atoms are Tb at (0.0000, 0.0000, 0.2399), Tb at (0.0130, 0.5065, 0.7459), Pr at (0.0000, 0.0000, 0.0000), Pr at (0.0000, 0.5000, 0.0000) and Tm at (0.0000, 0.0000, 0.5000).

As for the total energy: -4.15 eV per atom. For the total magnetization, the calculation gives 1.97 μB per formula unit. As for the formation energy: 514 meV per atom.

***

Record 5
## Cs2TiIrF6 (PBE)

Data for Cs2TiIrF6 after structural relaxation.

It has space group I4/mmm (No. 139), with a = 7.305 Å, b = 7.305 Å, c = 7.962 Å, α = 90.00°, β = 90.00° and γ = 90.00°. The inequivalent atoms are Cs at (0.000, 0.500, 0.250), Ti at (0.000, 0.000, 0.000), Ir at (0.000, 0.000, 0.500), F at (0.000, 0.000, 0.244) and F at (0.184, 0.184, 0.000).

The calculation puts the uncorrected formation energy at -2.332 eV per atom. As for the total energy: -5.30 eV per atom. For the total magnetization, the calculation gives 1.00 μB per formula unit.

***

Record 6
## ZrAs2Pb (PBE)

Data for ZrAs2Pb after structural relaxation.

It has space group R-3m (No. 166, hexagonal axes), with a = 3.9752 Å, b = 3.9752 Å, c = 21.4494 Å, α = 90.00°, β = 90.00° and γ = 120.00°. The inequivalent atoms are Zr at (0.0000, 0.0000, 0.0000), As at (0.0000, 0.0000, 0.2603) and Pb at (0.0000, 0.0000, 0.5000).

As for the total energy: -5.90 eV per atom. For the total magnetization, the calculation gives 0.00 μB per formula unit. As for the formation energy: -514 meV per atom.

***

Record 7
## Na3Sr4 (PBE)

Data for Na3Sr4 after structural relaxation.

It has space group I4/mmm (No. 139), with a = 4.023 Å, b = 4.023 Å, c = 44.049 Å, α = 90.00°, β = 90.00° and γ = 90.00°. The inequivalent atoms are Na at (0.000, 0.000, 0.000), Na at (0.000, 0.000, 0.222), Sr at (0.000, 0.000, 0.134) and Sr at (0.000, 0.000, 0.437).

For the excess energy over the best structure of this formula in the dataset, the calculation gives 64 meV per atom. As for the total energy: -1.42 eV per atom. For the total magnetization, the calculation gives 0.00 μB per formula unit. As for the formation energy: 108 meV per atom.

***

Record 8
## TiAl2Pt2 (PBE)

Data for TiAl2Pt2 after structural relaxation.

It has space group P4/mbm (No. 127), with a = 7.485 Å, b = 7.485 Å, c = 2.758 Å, α = 90.00°, β = 90.00° and γ = 90.00°. The inequivalent atoms are Ti at (0.000, 0.000, 0.000), Al at (0.133, 0.367, 0.000) and Pt at (0.165, 0.665, 0.500).

For the excess energy over the best structure of this formula in the dataset, the calculation gives 83 meV per atom. As for the total energy: -6.33 eV per atom. For the total magnetization, the calculation gives 0.70 μB per formula unit. As for the formation energy: -833 meV per atom.

***

Record 9
## TaTiGe2Sb (PBE)

Data for TaTiGe2Sb after structural relaxation.

It has space group P4/mmm (No. 123), with a = 4.928 Å, b = 4.928 Å, c = 5.354 Å, α = 90.00°, β = 90.00° and γ = 90.00°. The inequivalent atoms are Ta at (0.000, 0.000, 0.000), Ti at (0.500, 0.500, 0.500), Ge at (0.000, 0.500, 0.000) and Sb at (0.000, 0.000, 0.500).

The calculation puts the uncorrected formation energy at 0.802 eV per atom. As for the total energy: -5.82 eV per atom. For the total magnetization, the calculation gives 0.16 μB per formula unit.

***

Record 10
## Mg2RhAu (PBE)

Data for Mg2RhAu after structural relaxation.

It has space group Pmm2 (No. 25), with a = 3.016 Å, b = 4.049 Å, c = 5.585 Å, α = 90.00°, β = 90.00° and γ = 90.00°. The inequivalent atoms are Mg at (0.000, 0.000, 0.000), Mg at (0.500, 0.500, 0.311), Rh at (0.000, 0.000, 0.492) and Au at (0.500, 0.500, 0.792).

As for the total energy: -3.83 eV per atom. For the total magnetization, the calculation gives 0.00 μB per formula unit. As for the formation energy: -380 meV per atom.

***

Record 11
## Pu3Pd4Au2 (PBE)

Data for Pu3Pd4Au2 after structural relaxation.

It has space group C2/m (No. 12), with a = 8.231 Å, b = 4.832 Å, c = 8.876 Å, α = 90.00°, β = 91.33° and γ = 90.00°. The inequivalent atoms are Pu at (0.000, 0.000, 0.000), Pu at (0.165, 0.500, 0.430), Pd at (0.003, 0.000, 0.664), Pd at (0.166, 0.500, 0.107) and Au at (0.168, 0.500, 0.781).

As for the total energy: -8.25 eV per atom. For the total magnetization, the calculation gives 15.84 μB per formula unit. As for the formation energy: -437 meV per atom.

***

Record 12
## LiAcNdSm (PBE)

Data for LiAcNdSm after structural relaxation.

It has space group F-43m (No. 216), with a = 8.196 Å, b = 8.196 Å, c = 8.196 Å, α = 90.00°, β = 90.00° and γ = 90.00°. The inequivalent atoms are Li at (0.000, 0.000, 0.000), Ac at (0.000, 0.000, 0.500), Nd at (0.250, 0.250, 0.250) and Sm at (0.250, 0.250, 0.750).

As for the total energy: -3.65 eV per atom. For the total magnetization, the calculation gives 0.00 μB per formula unit. As for the formation energy: 228 meV per atom.

***

Record 13
## SrBeMo3 (PBE)

Data for SrBeMo3 after structural relaxation.

It has space group Pm-3m (No. 221), with a = 4.745 Å, b = 4.745 Å, c = 4.745 Å, α = 90.00°, β = 90.00° and γ = 90.00°. The inequivalent atoms are Sr at (0.000, 0.000, 0.000), Be at (0.500, 0.500, 0.500) and Mo at (0.000, 0.000, 0.500).

For the excess energy over the best structure of this formula in the dataset, the calculation gives 2128 meV per atom. As for the total energy: -4.29 eV per atom. For the total magnetization, the calculation gives 0.00 μB per formula unit. As for the formation energy: 3289 meV per atom.

***

Record 14
## TmSiAg (PBE)

Data for TmSiAg after structural relaxation.

It has space group F-43m (No. 216), with a = 6.435 Å, b = 6.435 Å, c = 6.435 Å, α = 90.00°, β = 90.00° and γ = 90.00°. The inequivalent atoms are Tm at (0.000, 0.000, 0.000), Si at (0.250, 0.250, 0.250) and Ag at (0.000, 0.000, 0.500).

The calculation puts the uncorrected formation energy at -0.387 eV per atom. As for the total energy: -4.64 eV per atom. For the total magnetization, the calculation gives 0.00 μB per formula unit.

***

Record 15
## SrTc2Rh (PBE)

Data for SrTc2Rh after structural relaxation.

It has space group F-43m (No. 216), with a = 6.562 Å, b = 6.562 Å, c = 6.562 Å, α = 90.00°, β = 90.00° and γ = 90.00°. The inequivalent atoms are Sr at (0.000, 0.000, 0.000), Tc at (0.000, 0.000, 0.500), Tc at (0.250, 0.250, 0.750) and Rh at (0.250, 0.250, 0.250).

For the excess energy over the best structure of this formula in the dataset, the calculation gives 359 meV per atom. As for the total energy: -6.75 eV per atom. For the total magnetization, the calculation gives 1.03 μB per formula unit. As for the formation energy: 691 meV per atom.

***

Record 16
## NiS2N (PBE)

Data for NiS2N after structural relaxation.

It has space group Cmcm (No. 63), with a = 3.223 Å, b = 31.977 Å, c = 2.628 Å, α = 90.00°, β = 90.00° and γ = 90.00°. The inequivalent atoms are Ni at (0.000, 0.167, 0.250), S at (0.000, 0.308, 0.250), S at (0.000, 0.413, 0.750) and N at (0.000, 0.444, 0.250).

The calculation puts the uncorrected formation energy at 0.407 eV per atom. As for the total energy: -5.18 eV per atom. For the total magnetization, the calculation gives 0.00 μB per formula unit.

***

Record 17
## ScPdPb (PBE)

Data for ScPdPb after structural relaxation.

It has space group I4/mmm (No. 139), with a = 3.503 Å, b = 3.503 Å, c = 22.261 Å, α = 90.00°, β = 90.00° and γ = 90.00°. The inequivalent atoms are Sc at (0.000, 0.000, 0.159), Pd at (0.000, 0.000, 0.286) and Pb at (0.000, 0.000, 0.430).

As for the total energy: -5.62 eV per atom. For the total magnetization, the calculation gives 0.00 μB per formula unit. As for the formation energy: -540 meV per atom.

***

Record 18
## DyBeAs2 (PBE)

Data for DyBeAs2 after structural relaxation.

It has space group Fmmm (No. 69), with a = 5.551 Å, b = 5.560 Å, c = 19.024 Å, α = 90.00°, β = 90.00° and γ = 90.00°. The inequivalent atoms are Dy at (0.000, 0.000, 0.115), Be at (0.250, 0.250, 0.250), As at (0.000, 0.000, 0.319) and As at (0.250, 0.250, 0.000).

For the excess energy over the best structure of this formula in the dataset, the calculation gives 0 meV per atom. As for the total energy: -5.07 eV per atom. For the total magnetization, the calculation gives 0.00 μB per formula unit. As for the formation energy: -659 meV per atom.

***

Record 19
## ErMgNi2 (PBE)

Data for ErMgNi2 after structural relaxation.

It has space group P4/mmm (No. 123), with a = 3.231 Å, b = 3.231 Å, c = 6.316 Å, α = 90.00°, β = 90.00° and γ = 90.00°. The inequivalent atoms are Er at (0.000, 0.000, 0.000), Mg at (0.000, 0.000, 0.500) and Ni at (0.500, 0.500, 0.272).

As for the total energy: -4.71 eV per atom. For the total magnetization, the calculation gives 0.00 μB per formula unit. As for the formation energy: -282 meV per atom.

***

Record 20
## HoTh2CoC2 (PBE)

Data for HoTh2CoC2 after structural relaxation.

It has space group Pnnm (No. 58), with a = 5.721 Å, b = 11.018 Å, c = 3.699 Å, α = 90.00°, β = 90.00° and γ = 90.00°. The inequivalent atoms are Ho at (0.000, 0.000, 0.000), Th at (0.022, 0.298, 0.500), Co at (0.000, 0.500, 0.000) and C at (0.236, 0.889, 0.500).

As for the total energy: -7.69 eV per atom. For the total magnetization, the calculation gives 0.00 μB per formula unit. As for the formation energy: -191 meV per atom.

***

Record 21
## TbDy5In2 (PBE)

Data for TbDy5In2 after structural relaxation.

It has space group Immm (No. 71), with a = 3.552 Å, b = 10.545 Å, c = 12.685 Å, α = 90.00°, β = 90.00° and γ = 90.00°. The inequivalent atoms are Tb at (0.000, 0.000, 0.000), Dy at (0.000, 0.227, 0.366), Dy at (0.000, 0.500, 0.000) and In at (0.000, 0.500, 0.261).

As for the total energy: -4.31 eV per atom. For the total magnetization, the calculation gives 0.00 μB per formula unit. As for the formation energy: -169 meV per atom.

***

Record 22
## RbLiGa2F8 (PBE)

Data for RbLiGa2F8 after structural relaxation.

It has space group R-3 (No. 148, hexagonal axes), with a = 5.2776 Å, b = 5.2776 Å, c = 23.1394 Å, α = 90.00°, β = 90.00° and γ = 120.00°. The inequivalent atoms are Rb at (0.0000, 0.0000, 0.0000), Li at (0.0000, 0.0000, 0.5000), Ga at (0.0000, 0.0000, 0.2344), F at (0.0000, 0.0000, 0.3130) and F at (0.0058, 0.3495, 0.1170).

The calculation puts the uncorrected formation energy at -2.692 eV per atom. As for the total energy: -4.68 eV per atom. For the total magnetization, the calculation gives 0.24 μB per formula unit.

***

Record 23
## LaAgPb2Se4 (PBE)

Data for LaAgPb2Se4 after structural relaxation.

It has space group Cmcm (No. 63), with a = 4.245 Å, b = 14.249 Å, c = 15.021 Å, α = 90.00°, β = 90.00° and γ = 90.00°. The inequivalent atoms are La at (0.000, 0.120, 0.250), Ag at (0.000, 0.148, 0.750), Pb at (0.000, 0.370, 0.059), Se at (0.000, 0.000, 0.000), Se at (0.000, 0.288, 0.628) and Se at (0.000, 0.468, 0.250).

The calculation puts the uncorrected formation energy at -0.887 eV per atom. As for the total energy: -4.53 eV per atom. For the total magnetization, the calculation gives 0.00 μB per formula unit.

***

Record 24
## Cr2FeTe (PBE)

Data for Cr2FeTe after structural relaxation.

It has space group Pmm2 (No. 25), with a = 3.183 Å, b = 3.524 Å, c = 5.487 Å, α = 90.00°, β = 90.00° and γ = 90.00°. The inequivalent atoms are Cr at (0.000, 0.000, 0.000), Cr at (0.500, 0.500, 0.198), Fe at (0.000, 0.000, 0.468) and Te at (0.500, 0.500, 0.699).

The calculation puts the uncorrected formation energy at 0.414 eV per atom. For the excess energy over the best structure of this formula in the dataset, the calculation gives 55 meV per atom. As for the total energy: -7.30 eV per atom. For the total magnetization, the calculation gives 2.58 μB per formula unit.

***

Record 25
## Mn3Mo (PBE)

Data for Mn3Mo after structural relaxation.

It has space group P4/mmm (No. 123), with a = 4.087 Å, b = 4.087 Å, c = 2.996 Å, α = 90.00°, β = 90.00° and γ = 90.00°. The inequivalent atoms are Mn at (0.000, 0.000, 0.000), Mn at (0.000, 0.500, 0.500) and Mo at (0.500, 0.500, 0.000).

As for the total energy: -9.48 eV per atom. For the total magnetization, the calculation gives 2.89 μB per formula unit. As for the formation energy: 104 meV per atom.

***

Record 26
## NbVCr2 (PBE)

Data for NbVCr2 after structural relaxation.

It has space group R-3m (No. 166, hexagonal axes), with a = 2.9151 Å, b = 2.9151 Å, c = 23.1134 Å, α = 90.00°, β = 90.00° and γ = 120.00°. The inequivalent atoms are Nb at (0.0000, 0.0000, 0.0000), V at (0.0000, 0.0000, 0.5000) and Cr at (0.0000, 0.0000, 0.2452).

For the excess energy over the best structure of this formula in the dataset, the calculation gives 366 meV per atom. As for the total energy: -9.24 eV per atom. For the total magnetization, the calculation gives 0.00 μB per formula unit. As for the formation energy: 372 meV per atom.